No. 1
# Pu8CdIr6, relaxed, DFT GGA-PBE
data_Pu8CdIr6
_chemical_formula_sum 'Pu24 Cd3 Ir18'
_symmetry_space_group_name_H-M 'R -3'
_symmetry_Int_Tables_number 148
_symmetry_space_group_name_Hall '-R 3'
_cell_length_a 8.3677
_cell_length_b 8.3677
_cell_length_c 17.2608
_cell_angle_alpha 90.00
_cell_angle_beta 90.00
_cell_angle_gamma 120.00
loop_
_atom_site_label
_atom_site_fract_x
_atom_site_fract_y
_atom_site_fract_z
Pu1 0.0000 0.0000 0.1728
Pu2 0.0115 0.7000 0.6102
Cd1 0.0000 0.0000 0.5000
Ir1 0.0033 0.6544 0.4416
# Formation energy from the elements (eV/atom): -0.337
# Crystal system: trigonal

No. 2
# Pu5CdIr3, relaxed, DFT GGA-PBE
data_Pu5CdIr3
_chemical_formula_sum 'Pu20 Cd4 Ir12'
_symmetry_space_group_name_H-M 'C 1 2/m 1'
_symmetry_Int_Tables_number 12
_symmetry_space_group_name_Hall '-C 2y'
_cell_length_a 10.549
_cell_length_b 8.830
_cell_length_c 10.586
_cell_angle_alpha 90.00
_cell_angle_beta 109.04
_cell_angle_gamma 90.00
loop_
_atom_site_label
_atom_site_fract_x
_atom_site_fract_y
_atom_site_fract_z
Pu1 0.000 0.198 0.000
Pu2 0.013 0.000 0.339
Pu3 0.189 0.287 0.630
Pu4 0.235 0.000 0.909
Cd1 0.002 0.500 0.755
Ir1 0.000 0.500 0.000
Ir2 0.000 0.500 0.500
Ir3 0.178 0.000 0.167
Ir4 0.245 0.000 0.553
# Formation energy from the elements (eV/atom): -0.041
# Crystal system: monoclinic

No. 3
# PuCdIrRh, relaxed, DFT GGA-PBE
data_PuCdIrRh
_chemical_formula_sum 'Pu4 Cd4 Ir4 Rh4'
_symmetry_space_group_name_H-M 'F -4 3 m'
_symmetry_Int_Tables_number 216
_symmetry_space_group_name_Hall 'F -4 2 3'
_cell_length_a 6.659
_cell_length_b 6.659
_cell_length_c 6.659
_cell_angle_alpha 90.00
_cell_angle_beta 90.00
_cell_angle_gamma 90.00
loop_
_atom_site_label
_atom_site_fract_x
_atom_site_fract_y
_atom_site_fract_z
Pu1 0.000 0.000 0.000
Cd1 0.000 0.000 0.500
Ir1 0.250 0.250 0.250
Rh1 0.250 0.250 0.750
# Formation energy from the elements (eV/atom): -0.282
# Crystal system: cubic

> formation energy from the elements of number 2 (Pu5CdIr3)?

-0.041 eV/atom

> formation energy from the elements of number 3 (PuCdIrRh)?

-0.282 eV/atom

> Which value of formation energy from the elements does entry 1 give?

-0.337 eV/atom